(1)
# GGA-PBE LiNpGe2, relaxed
data_LiNpGe2
_chemical_formula_sum 'Li1 Np1 Ge2'
_symmetry_space_group_name_H-M 'P 4/m m m'
_symmetry_Int_Tables_number 123
_symmetry_space_group_name_Hall '-P 4 2'
_cell_length_a 2.704
_cell_length_b 2.704
_cell_length_c 9.183
_cell_angle_alpha 90.00
_cell_angle_beta 90.00
_cell_angle_gamma 90.00
loop_
_atom_site_label
_atom_site_fract_x
_atom_site_fract_y
_atom_site_fract_z
Li1 0.000 0.000 0.000
Np1 0.000 0.000 0.500
Ge1 0.500 0.500 0.234
# Raw total energy = -6.14 eV/atom
# Total magnetic moment = 0.35 μB per formula unit
# Relative energy among the computed polymorphs = 65 meV per atom


(2)
# GGA-PBE LiNpGe, relaxed
data_LiNpGe
_chemical_formula_sum 'Li6 Np6 Ge6'
_symmetry_space_group_name_H-M 'R -3 m'
_symmetry_Int_Tables_number 166
_symmetry_space_group_name_Hall '-R 3 2"'
_cell_length_a 4.5052
_cell_length_b 4.5052
_cell_length_c 21.8960
_cell_angle_alpha 90.00
_cell_angle_beta 90.00
_cell_angle_gamma 120.00
loop_
_atom_site_label
_atom_site_fract_x
_atom_site_fract_y
_atom_site_fract_z
Li1 0.0000 0.0000 0.2030
Np1 0.0000 0.0000 0.3481
Ge1 0.0000 0.0000 0.0779
# Raw total energy = -6.54 eV/atom
# Total magnetic moment = 3.94 μB per formula unit


What did we get for volume? Answer: 67 385 Å³/cell, in the order shown.